[1]
A crystal of Zn2SbTe relaxed with PBEsol, computed with SCAN.

## Properties
M_tot	0.00	Bohr magnetons per cell
formation energy (no corrections)	0.116	eV/atom

Cell lengths 4.288, 4.967, 4.967 Å; angles 104.53, 105.82, 105.82 degrees
Positions (direct):
1 Zn 0.000 0.500 0.000
2 Sb 0.500 0.000 0.000
3 Te 0.500 0.500 0.500
4 Zn 0.000 0.000 0.500

[2]
A crystal of CoRh relaxed with PBEsol, computed with SCAN.

## Properties
DFT formation energy	62	meV per atom
M_tot	8.13	Bohr magnetons per cell

Cell lengths 3.590, 4.469, 5.186 Å; angles 107.02, 90.00, 113.68 degrees
Positions (direct):
1 Co 0.001 0.002 0.992
2 Co 0.663 0.326 0.831
3 Rh 0.337 0.675 0.672
4 Rh 0.333 0.666 0.163
5 Co 0.004 0.009 0.512
6 Rh 0.661 0.323 0.330

[3]
A crystal of TlPW2 relaxed with PBEsol, computed with SCAN.

## Properties
DFT formation energy	503	meV per atom
distance to the lowest polymorph of the same formula	0.000	eV/atom
M_tot	0.00	Bohr magnetons per cell

Cell lengths 3.041, 3.043, 7.047 Å; angles 91.74, 90.00, 90.00 degrees
Positions (direct):
1 Tl 0.500 0.500 0.000
2 W 0.000 0.986 0.314
3 W 0.000 0.014 0.686
4 P 0.500 0.500 0.500

[4]
A crystal of Li2MgZn relaxed with PBEsol, computed with SCAN.

## Properties
DFT formation energy	-33	meV per atom
M_tot	0.02	Bohr magnetons per cell

Cell lengths 2.942, 2.942, 9.603 Å; angles 81.19, 81.19, 60.00 degrees
Positions (direct):
1 Li 0.743 0.743 0.771
2 Zn 0.000 0.000 0.000
3 Li 0.257 0.257 0.229
4 Mg 0.500 0.500 0.500